No. 1
{"formula": "CaNiSb2", "functional": "PBE", "state": "optimized geometry", "lattice": [[4.108, 0.000, 0.000], [-2.054, 3.558, 0.000], [0.000, 0.000, 19.723]], "species": ["Ca", "Ca", "Ca", "Ni", "Ni", "Ni", "Sb", "Sb", "Sb", "Sb", "Sb", "Sb"], "fractional_positions": [[0.000, 0.000, 0.000], [0.333, 0.667, 0.667], [0.667, 0.333, 0.333], [0.000, 0.000, 0.500], [0.333, 0.667, 0.167], [0.667, 0.333, 0.833], [0.000, 0.000, 0.225], [0.000, 0.000, 0.775], [0.333, 0.667, 0.442], [0.333, 0.667, 0.891], [0.667, 0.333, 0.109], [0.667, 0.333, 0.558]], "magnetic_moment_mub_per_cell": 0.0, "dos_ef_per_ev_atom": 0.475, "e_form_raw_ev_per_atom": -0.417, "sg": "R-3m", "e_tot_ev_per_atom": -4.4235}

***

No. 2
{"formula": "SbPtN2F", "functional": "PBE", "state": "optimized geometry", "lattice": [[4.095, 0.000, 0.000], [0.000, 4.095, 0.000], [0.000, 0.000, 3.982]], "species": ["Sb", "Pt", "N", "N", "F"], "fractional_positions": [[0.000, 0.000, 0.000], [0.500, 0.500, 0.500], [0.000, 0.500, 0.000], [0.500, 0.000, 0.000], [0.000, 0.000, 0.500]], "magnetic_moment_mub_per_cell": 0.0, "dos_ef_per_ev_atom": 0.439, "polymorph_energy_ev_per_atom": 0.141, "e_form_raw_ev_per_atom": 0.949, "sg": "P4/mmm", "e_tot_ev_per_atom": -4.7882}

***

No. 3
{"formula": "TlPW2", "functional": "PBE", "state": "optimized geometry", "lattice": [[4.149, 0.000, 0.000], [0.000, 4.149, 0.000], [0.000, 0.000, 18.215]], "species": ["Tl", "Tl", "Tl", "Tl", "P", "P", "P", "P", "W", "W", "W", "W", "W", "W", "W", "W"], "fractional_positions": [[0.000, 0.000, 0.000], [0.000, 0.500, 0.250], [0.500, 0.000, 0.750], [0.500, 0.500, 0.500], [0.000, 0.000, 0.500], [0.000, 0.500, 0.750], [0.500, 0.000, 0.250], [0.500, 0.500, 0.000], [0.177, 0.250, 0.625], [0.250, 0.677, 0.875], [0.250, 0.823, 0.375], [0.323, 0.250, 0.125], [0.677, 0.750, 0.125], [0.750, 0.177, 0.375], [0.750, 0.323, 0.875], [0.823, 0.750, 0.625]], "magnetic_moment_mub_per_cell": 0.0, "dos_ef_per_ev_atom": 0.770, "polymorph_energy_ev_per_atom": 0.678, "formation_enthalpy_0k_mev_per_atom": 954, "sg": "I-42d", "e_tot_ev_per_atom": -7.4667}

***

No. 4
{"formula": "KTe2N", "functional": "PBE", "state": "optimized geometry", "lattice": [[7.576, 0.000, 0.000], [0.000, 7.576, 0.000], [0.000, 0.000, 8.372]], "species": ["K", "K", "K", "K", "Te", "Te", "Te", "Te", "Te", "Te", "Te", "Te", "N", "N", "N", "N"], "fractional_positions": [[0.000, 0.000, 0.000], [0.000, 0.500, 0.250], [0.500, 0.000, 0.750], [0.500, 0.500, 0.500], [0.092, 0.250, 0.625], [0.250, 0.592, 0.875], [0.250, 0.908, 0.375], [0.408, 0.250, 0.125], [0.592, 0.750, 0.125], [0.750, 0.092, 0.375], [0.750, 0.408, 0.875], [0.908, 0.750, 0.625], [0.000, 0.000, 0.500], [0.000, 0.500, 0.750], [0.500, 0.000, 0.250], [0.500, 0.500, 0.000]], "magnetic_moment_mub_per_cell": 0.0, "dos_ef_per_ev_atom": 0.929, "e_form_raw_ev_per_atom": 0.265, "sg": "I-42d", "e_tot_ev_per_atom": -3.6615}

***

No. 5
{"formula": "CuTc2Os", "functional": "PBE", "state": "optimized geometry", "lattice": [[9.106, 0.000, 0.000], [0.000, 2.718, 0.000], [-0.797, 0.000, 4.540]], "species": ["Cu", "Cu", "Tc", "Tc", "Tc", "Tc", "Os", "Os"], "fractional_positions": [[0.000, 0.000, 0.000], [0.500, 0.500, 0.000], [0.244, 0.000, 0.744], [0.256, 0.500, 0.256], [0.744, 0.500, 0.744], [0.756, 0.000, 0.256], [0.000, 0.500, 0.500], [0.500, 0.000, 0.500]], "magnetic_moment_mub_per_cell": 0.0, "dos_ef_per_ev_atom": 0.818, "polymorph_energy_ev_per_atom": 0.069, "formation_enthalpy_0k_mev_per_atom": 226, "sg": "C2/m", "e_tot_ev_per_atom": -8.7882}

***

No. 6
{"formula": "ZnSI2", "functional": "PBE", "state": "optimized geometry", "lattice": [[7.376, 0.000, 0.000], [0.000, 7.376, 0.000], [0.000, 0.000, 7.376]], "species": ["Zn", "Zn", "Zn", "Zn", "S", "S", "S", "S", "I", "I", "I", "I", "I", "I", "I", "I"], "fractional_positions": [[0.000, 0.000, 0.000], [0.000, 0.500, 0.500], [0.500, 0.000, 0.500], [0.500, 0.500, 0.000], [0.000, 0.000, 0.500], [0.000, 0.500, 0.000], [0.500, 0.000, 0.000], [0.500, 0.500, 0.500], [0.250, 0.250, 0.250], [0.250, 0.250, 0.750], [0.250, 0.750, 0.250], [0.250, 0.750, 0.750], [0.750, 0.250, 0.250], [0.750, 0.250, 0.750], [0.750, 0.750, 0.250], [0.750, 0.750, 0.750]], "magnetic_moment_mub_per_cell": 0.0, "dos_ef_per_ev_atom": 0.924, "e_form_raw_ev_per_atom": 0.606, "sg": "Fm-3m", "e_tot_ev_per_atom": -1.5197}

***

No. 7
{"formula": "GdSbPdAu", "functional": "PBE", "state": "optimized geometry", "lattice": [[6.994, 0.000, 0.000], [0.000, 6.994, 0.000], [0.000, 0.000, 6.994]], "species": ["Gd", "Gd", "Gd", "Gd", "Sb", "Sb", "Sb", "Sb", "Pd", "Pd", "Pd", "Pd", "Au", "Au", "Au", "Au"], "fractional_positions": [[0.000, 0.000, 0.000], [0.000, 0.500, 0.500], [0.500, 0.000, 0.500], [0.500, 0.500, 0.000], [0.000, 0.000, 0.500], [0.000, 0.500, 0.000], [0.500, 0.000, 0.000], [0.500, 0.500, 0.500], [0.250, 0.250, 0.750], [0.250, 0.750, 0.250], [0.750, 0.250, 0.250], [0.750, 0.750, 0.750], [0.250, 0.250, 0.250], [0.250, 0.750, 0.750], [0.750, 0.250, 0.750], [0.750, 0.750, 0.250]], "magnetic_moment_mub_per_cell": 27.5, "dos_ef_per_ev_atom": 0.674, "e_form_raw_ev_per_atom": -0.701, "sg": "F-43m", "e_tot_ev_per_atom": -7.3691}

***

No. 8
{"formula": "K4Mg3TlF12", "functional": "PBE", "state": "optimized geometry", "lattice": [[-4.233, 4.233, 4.233], [4.233, -4.233, 4.233], [4.233, 4.233, -4.233]], "species": ["K", "K", "K", "K", "Mg", "Mg", "Mg", "Tl", "F", "F", "F", "F", "F", "F", "F", "F", "F", "F", "F", "F"], "fractional_positions": [[0.000, 0.000, 0.500], [0.000, 0.500, 0.000], [0.500, 0.000, 0.000], [0.500, 0.500, 0.500], [0.000, 0.500, 0.500], [0.500, 0.000, 0.500], [0.500, 0.500, 0.000], [0.000, 0.000, 0.000], [0.000, 0.273, 0.273], [0.000, 0.727, 0.727], [0.250, 0.500, 0.750], [0.250, 0.750, 0.500], [0.273, 0.000, 0.273], [0.273, 0.273, 0.000], [0.500, 0.250, 0.750], [0.500, 0.750, 0.250], [0.727, 0.000, 0.727], [0.727, 0.727, 0.000], [0.750, 0.250, 0.500], [0.750, 0.500, 0.250]], "magnetic_moment_mub_per_cell": 1.0, "dos_ef_per_ev_atom": 0.159, "e_form_raw_ev_per_atom": -2.955, "sg": "Im-3m", "e_tot_ev_per_atom": -4.6552}

***

No. 9
{"formula": "DyMgPb", "functional": "PBE", "state": "optimized geometry", "lattice": [[3.574, 0.000, 0.000], [0.000, 3.574, 0.000], [0.000, 0.000, 12.708]], "species": ["Dy", "Dy", "Mg", "Mg", "Pb", "Pb"], "fractional_positions": [[0.000, 0.000, 0.000], [0.500, 0.500, 0.500], [0.000, 0.000, 0.673], [0.500, 0.500, 0.173], [0.000, 0.000, 0.322], [0.500, 0.500, 0.822]], "magnetic_moment_mub_per_cell": 0.0, "dos_ef_per_ev_atom": 0.844, "formation_enthalpy_0k_mev_per_atom": -193, "sg": "I4mm", "e_tot_ev_per_atom": -3.4947}

***

No. 10
{"formula": "Ta2Mo5W", "functional": "PBE", "state": "optimized geometry", "lattice": [[5.449, 0.000, 0.000], [0.000, 10.691, 0.000], [0.000, 0.000, 4.546]], "species": ["Ta", "Ta", "Ta", "Ta", "Mo", "Mo", "Mo", "Mo", "Mo", "Mo", "Mo", "Mo", "Mo", "Mo", "W", "W"], "fractional_positions": [[0.165, 0.121, 0.000], [0.335, 0.621, 0.000], [0.665, 0.379, 0.000], [0.835, 0.879, 0.000], [0.000, 0.000, 0.500], [0.158, 0.753, 0.500], [0.164, 0.381, 0.000], [0.336, 0.881, 0.000], [0.342, 0.253, 0.500], [0.500, 0.500, 0.500], [0.658, 0.747, 0.500], [0.664, 0.119, 0.000], [0.836, 0.619, 0.000], [0.842, 0.247, 0.500], [0.000, 0.500, 0.500], [0.500, 0.000, 0.500]], "magnetic_moment_mub_per_cell": 0.0, "dos_ef_per_ev_atom": 0.765, "polymorph_energy_ev_per_atom": 0.000, "formation_enthalpy_0k_mev_per_atom": 11, "sg": "Pbam", "e_tot_ev_per_atom": -11.3403}

***

No. 11
{"formula": "BeSI2N", "functional": "PBE", "state": "optimized geometry", "lattice": [[6.073, 0.000, 0.000], [0.000, 6.073, 0.000], [0.000, 0.000, 3.343]], "species": ["Be", "S", "I", "I", "N"], "fractional_positions": [[0.000, 0.000, 0.000], [0.500, 0.500, 0.500], [0.000, 0.500, 0.500], [0.500, 0.000, 0.500], [0.500, 0.500, 0.000]], "magnetic_moment_mub_per_cell": 0.0, "dos_ef_per_ev_atom": 0.585, "polymorph_energy_ev_per_atom": 0.456, "e_form_raw_ev_per_atom": 1.203, "sg": "P4/mmm", "e_tot_ev_per_atom": -2.6529}

***

No. 12
{"formula": "PmHfPb", "functional": "PBE", "state": "optimized geometry", "lattice": [[3.489, 0.000, 0.000], [0.000, 5.092, 0.000], [-1.295, 0.000, 9.379]], "species": ["Pm", "Pm", "Hf", "Hf", "Pb", "Pb"], "fractional_positions": [[0.048, 0.250, 0.225], [0.952, 0.750, 0.775], [0.284, 0.250, 0.560], [0.716, 0.750, 0.440], [0.461, 0.750, 0.106], [0.539, 0.250, 0.894]], "magnetic_moment_mub_per_cell": 0.0, "dos_ef_per_ev_atom": 1.331, "polymorph_energy_ev_per_atom": 0.000, "formation_enthalpy_0k_mev_per_atom": -32, "sg": "P2_1/m", "e_tot_ev_per_atom": -6.1696}